Entry 1:
DFT (PBE) results for an optimized crystal structure of BaTiP2Cl.

Structure (CIF):
```
data_BaTiP2Cl
_cell_length_a 4.773
_cell_length_b 4.773
_cell_length_c 5.211
_cell_angle_alpha 90.00
_cell_angle_beta 90.00
_cell_angle_gamma 90.00
_symmetry_space_group_name_H-M 'P 4/m m m'
_symmetry_Int_Tables_number 123
_symmetry_space_group_name_Hall '-P 4 2'
loop_
_atom_site_label
_atom_site_type_symbol
_atom_site_fract_x
_atom_site_fract_y
_atom_site_fract_z
Ba1 Ba 0.000 0.000 0.000
Ti1 Ti 0.500 0.500 0.500
P1 P 0.000 0.500 0.500
Cl1 Cl 0.500 0.500 0.000
```

Calculated values
V ... 118.7 Å³/cell
Total energy ... -27.804 eV per cell
Distance to the lowest polymorph of the same formula ... 0.0 kJ/mol of atoms
Fermi-level density of states ... 3.22 states/eV/cell

***

Entry 2:
DFT (PBE) results for an optimized crystal structure of Cs2Cr2Bi.

Structure (CIF):
```
data_Cs2Cr2Bi
_cell_length_a 3.341
_cell_length_b 3.341
_cell_length_c 26.865
_cell_angle_alpha 90.00
_cell_angle_beta 90.00
_cell_angle_gamma 90.00
_symmetry_space_group_name_H-M 'I 4/m m m'
_symmetry_Int_Tables_number 139
_symmetry_space_group_name_Hall '-I 4 2'
loop_
_atom_site_label
_atom_site_type_symbol
_atom_site_fract_x
_atom_site_fract_y
_atom_site_fract_z
Cs1 Cs 0.000 0.000 0.117
Cr1 Cr 0.000 0.500 0.250
Bi1 Bi 0.000 0.000 0.500
```

Calculated values
V ... 299.9 Å³/cell
Total energy ... -41.805 eV per cell
Fermi-level density of states ... 10.97 states/eV/cell
Energy of formation from the pure elements ... 0.79 eV/atom

***

Entry 3:
DFT (PBE) results for an optimized crystal structure of BaYF2.

Structure (CIF):
```
data_BaYF2
_cell_length_a 5.538
_cell_length_b 5.538
_cell_length_c 13.752
_cell_angle_alpha 90.00
_cell_angle_beta 90.00
_cell_angle_gamma 90.00
_symmetry_space_group_name_H-M 'I -4 2 d'
_symmetry_Int_Tables_number 122
_symmetry_space_group_name_Hall 'I -4 2bw'
loop_
_atom_site_label
_atom_site_type_symbol
_atom_site_fract_x
_atom_site_fract_y
_atom_site_fract_z
Ba1 Ba 0.000 0.000 0.000
Y1 Y 0.000 0.000 0.500
F1 F 0.089 0.250 0.625
```

Calculated values
V ... 421.8 Å³/cell
Total energy ... -86.780 eV per cell
Distance to the lowest polymorph of the same formula ... 29.1 kJ/mol of atoms
Fermi-level density of states ... 23.02 states/eV/cell

***

Entry 4:
DFT (PBE) results for an optimized crystal structure of FeRe4Hg.

Structure (CIF):
```
data_FeRe4Hg
_cell_length_a 7.383
_cell_length_b 7.383
_cell_length_c 7.383
_cell_angle_alpha 90.00
_cell_angle_beta 90.00
_cell_angle_gamma 90.00
_symmetry_space_group_name_H-M 'F -4 3 m'
_symmetry_Int_Tables_number 216
_symmetry_space_group_name_Hall 'F -4 2 3'
loop_
_atom_site_label
_atom_site_type_symbol
_atom_site_fract_x
_atom_site_fract_y
_atom_site_fract_z
Fe1 Fe 0.000 0.000 0.000
Re1 Re 0.125 0.125 0.375
Hg1 Hg 0.250 0.250 0.750
```

Calculated values
V ... 402.5 Å³/cell
Total energy ... -216.153 eV per cell
Fermi-level density of states ... 22.25 states/eV/cell
Energy of formation from the pure elements ... 0.75 eV/atom